Entry 1:
A plane-wave DFT calculation with GGA-PBE was carried out for a relaxed structure of NdYRh.

- calculated density (Mg/m³) = 6.48
- total magnetic moment (Bohr magnetons per cell) = 0.00
- E above lowest polymorph (meV per atom) = 35

a = 6.9900 Å, b = 6.0537 Å, c = 10.5025 Å
α = 90.00°, β = 129.18°, γ = 90.00°
Sites, in units of the cell vectors:
Nd: 0.1853 0.1346 0.3822
Nd: 0.1853 0.3654 0.8822
Nd: 0.8147 0.6346 0.1178
Nd: 0.8147 0.8654 0.6178
Y: 0.3341 0.6201 0.6309
Y: 0.3341 0.8799 0.1309
Y: 0.6659 0.1201 0.8691
Y: 0.6659 0.3799 0.3691
Rh: 0.3362 0.6696 0.3668
Rh: 0.3362 0.8304 0.8668
Rh: 0.6638 0.1696 0.1332
Rh: 0.6638 0.3304 0.6332

=====

Entry 2:
A plane-wave DFT calculation with GGA-PBE was carried out for a relaxed structure of Nd2YRh.

- calculated density (Mg/m³) = 6.40
- total magnetic moment (Bohr magnetons per cell) = 1.99
- E above lowest polymorph (meV per atom) = 189

a = 3.9184 Å, b = 3.9184 Å, c = 28.1279 Å
α = 90.00°, β = 90.00°, γ = 120.00°
Sites, in units of the cell vectors:
Nd: 0.0000 0.0000 0.0000
Nd: 0.0000 0.0000 0.2121
Nd: 0.3333 0.6667 0.6667
Nd: 0.3333 0.6667 0.8787
Nd: 0.6667 0.3333 0.3333
Nd: 0.6667 0.3333 0.5454
Y: 0.0000 0.0000 0.7720
Y: 0.3333 0.6667 0.4387
Y: 0.6667 0.3333 0.1053
Rh: 0.0000 0.0000 0.6064
Rh: 0.3333 0.6667 0.2731
Rh: 0.6667 0.3333 0.9398

=====

Entry 3:
A plane-wave DFT calculation with GGA-PBE was carried out for a relaxed structure of Nd2YRh3.

- calculated density (Mg/m³) = 8.01
- total magnetic moment (Bohr magnetons per cell) = 0.00
- E above lowest polymorph (meV per atom) = 178

a = 4.1281 Å, b = 5.7461 Å, c = 11.9984 Å
α = 90.00°, β = 90.00°, γ = 90.00°
Sites, in units of the cell vectors:
Nd: 0.0000 0.0000 0.1684
Nd: 0.0000 0.0000 0.8316
Nd: 0.5000 0.5000 0.3316
Nd: 0.5000 0.5000 0.6684
Y: 0.0000 0.0000 0.5000
Y: 0.5000 0.5000 0.0000
Rh: 0.0000 0.5000 0.1590
Rh: 0.0000 0.5000 0.5000
Rh: 0.0000 0.5000 0.8410
Rh: 0.5000 0.0000 0.0000
Rh: 0.5000 0.0000 0.3410
Rh: 0.5000 0.0000 0.6590